(1)
An optimized crystal structure of Zn3SiC. Source: Alexandria via LeMat-Bulk, functional PBE.

Output
SG: Pm-3m (221)
ΔE_f (raw) (meV/atom): 1575
Relative energy among the computed polymorphs (meV per atom): 807

Unit cell a=4.701 b=4.701 c=4.701 alpha=90.00 beta=90.00 gamma=90.00
Last column: magnetic moment on the atom in μB.
Element x y z (fractional)
Zn1 0.500 0.000 0.000  0.04
Si1 0.000 0.000 0.000  0.07
Zn2 0.000 0.000 0.500  -0.01
Zn3 0.000 0.500 0.000  0.04
C1 0.500 0.500 0.500  0.97

=====

(2)
An optimized crystal structure of ZrSi3C. Source: Alexandria via LeMat-Bulk, functional PBE.

Output
SG: Pm-3m (221)
ΔE_f (raw) (meV/atom): 2179
Relative energy among the computed polymorphs (meV per atom): 1605

Unit cell a=5.096 b=5.096 c=5.096 alpha=90.00 beta=90.00 gamma=90.00
Last column: magnetic moment on the atom in μB.
Element x y z (fractional)
C1 0.500 0.500 0.500  0.85
Si1 0.000 0.500 0.000  0.02
Zr1 0.000 0.000 0.000  -0.07
Si2 0.000 0.000 0.500  -0.01
Si3 0.500 0.000 0.000  0.00

=====

(3)
An optimized crystal structure of Zr4SiC. Source: Alexandria via LeMat-Bulk, functional PBE.

Output
SG: P2_1/c (14)
ΔE_f (raw) (meV/atom): -401

Unit cell a=6.149 b=6.123 c=6.070 alpha=90.00 beta=94.84 gamma=90.00
Element x y z (fractional)
Si1 0.000 0.000 0.000
Zr1 0.391 0.870 0.166
Zr2 0.178 0.841 0.617
Zr3 0.609 0.130 0.834
Zr4 0.322 0.341 0.383
Zr5 0.891 0.630 0.166
C1 0.000 0.500 0.500
Zr6 0.822 0.159 0.383
Si2 0.500 0.500 0.000
Zr7 0.109 0.370 0.834
C2 0.500 0.000 0.500
Zr8 0.678 0.659 0.617

=====

(4)
An optimized crystal structure of ZrSiC2. Source: Alexandria via LeMat-Bulk, functional PBE.

Output
SG: I-42d (122)
ΔE_f (raw) (meV/atom): -17

Unit cell a=5.378 b=5.378 c=5.051 alpha=57.83 beta=57.83 gamma=90.00
Element x y z (fractional)
C1 0.375 0.433 0.750
Si1 0.500 0.500 0.000
Si2 0.250 0.750 0.500
C2 0.567 0.125 0.250
C3 0.183 0.625 0.250
Zr1 0.750 0.250 0.500
C4 0.875 0.817 0.750
Zr2 0.000 0.000 0.000

=====

(5)
An optimized crystal structure of Zr2SiC. Source: Alexandria via LeMat-Bulk, functional PBE.

Output
SG: I-42d (122)
ΔE_f (raw) (meV/atom): -264

Unit cell a=6.545 b=6.545 c=5.627 alpha=54.44 beta=54.44 gamma=90.00
Element x y z (fractional)
C1 0.500 0.500 0.000
Zr1 0.181 0.625 0.250
Si1 0.750 0.250 0.500
Zr2 0.375 0.431 0.750
Si2 0.000 0.000 0.000
C2 0.250 0.750 0.500
Zr3 0.875 0.819 0.750
Zr4 0.569 0.125 0.250

=====

(6)
An optimized crystal structure of ZrSiC. Source: Alexandria via LeMat-Bulk, functional PBE.

Output
SG: P4/nmm (129)
ΔE_f (raw) (meV/atom): -75

Unit cell a=3.416 b=3.416 c=13.990 alpha=90.00 beta=90.00 gamma=90.00
Element x y z (fractional)
Zr1 0.250 0.750 0.333
Si1 0.750 0.750 0.000
C1 0.250 0.750 0.672
Si2 0.250 0.250 0.500
C2 0.750 0.250 0.829
Zr2 0.750 0.250 0.667
C3 0.250 0.750 0.171
Si3 0.250 0.250 0.000
Zr3 0.250 0.750 0.834
C4 0.750 0.250 0.328
Si4 0.750 0.750 0.500
Zr4 0.750 0.250 0.166